DyEr2Ga3 | PBE | optimized geometry

- energy of formation (eV/atom) = -0.5006
- calculated volume (A^3/atom) = 24.075
- total magnetization (μB/f.u.) = 0.00
- E above lowest polymorph (kJ/mol of formula units) = 45

Cell: 10.6339 10.6339 6.1601 Å, 90.00 90.00 155.50°
Last column: nearest neighbours and their distance in Å.
Fractional coordinates of all 12 atoms:
Dy 0.1788 0.8212 0.7500  4 Ga 2.91-3.01
Dy 0.8212 0.1788 0.2500  4 Ga 2.91-3.01
Er 0.3597 0.6403 0.7500  6 Ga 2.97-3.05
Er 0.4671 0.5329 0.2500  8 Ga 2.95-3.27
Er 0.5329 0.4671 0.7500  8 Ga 2.95-3.27
Er 0.6403 0.3597 0.2500  6 Ga 2.97-3.05
Ga 0.0629 0.9371 0.0423  2 Ga 2.56-2.66
Ga 0.0629 0.9371 0.4577  2 Ga 2.56-2.66
Ga 0.2331 0.7669 0.2500  2 Dy 2.91, 2 Er 2.97
Ga 0.7669 0.2331 0.7500  2 Dy 2.91, 2 Er 2.97
Ga 0.9371 0.0629 0.5423  2 Ga 2.56-2.66
Ga 0.9371 0.0629 0.9577  2 Ga 2.56-2.66